Density functional theory data (GGA-PBE) for an optimized crystal structure of Nd2Ho3Er6In.

Computed properties:
space-group type = C2/m, No. 12
DOS at the Fermi energy = 15.45 states/eV/f.u.
formation energy from the elements = -1.27 kcal/mol of atoms

abc: 6.0592 6.0592 11.6592
angles: 94.98 94.98 120.02
Sites, in units of the cell vectors:
Er1 0.4108 0.0831 0.2503
Nd1 0.6663 0.3337 0.0000
Ho1 0.1666 0.8334 0.5000
Ho2 0.8334 0.1666 0.5000
Nd2 0.3337 0.6663 0.0000
Er2 0.5892 0.9169 0.7497
Er3 0.7558 0.7558 0.2511
Er4 0.9169 0.5892 0.7497
Er5 0.2442 0.2442 0.7489
In1 0.0000 0.0000 0.0000
Er6 0.0831 0.4108 0.2503
Ho3 0.5000 0.5000 0.5000



Density functional theory data (GGA-PBE) for an optimized crystal structure of BaLa3Y.

Computed properties:
E above lowest polymorph = 0 meV/atom
space-group type = Pm-3m, No. 221
DOS at the Fermi energy = 6.56 states/eV/f.u.
formation energy from the elements = 10.46 kcal/mol of atoms

abc: 6.1210 6.1210 6.1210
angles: 90.00 90.00 90.00
Last column: magnetic moment on the atom in μB.
Sites, in units of the cell vectors:
Y1 0.0000 0.0000 0.0000  0.22
Ba1 0.5000 0.5000 0.5000  0.02
La1 0.0000 0.0000 0.5000  0.12
La2 0.5000 0.0000 0.0000  0.04
La3 0.0000 0.5000 0.0000  0.09



Density functional theory data (GGA-PBE) for an optimized crystal structure of YHfTc2Ir.

Computed properties:
space-group type = P4/mmm, No. 123
DOS at the Fermi energy = 5.20 states/eV/f.u.
formation energy from the elements = 15.76 kcal/mol of atoms

abc: 4.8411 4.8416 4.8411
angles: 90.00 90.00 90.00
Sites, in units of the cell vectors:
Tc1 0.0000 0.0000 0.5000
Hf1 0.0000 0.5000 0.0000
Tc2 0.5000 0.0000 0.0000
Ir1 0.0000 0.0000 0.0000
Y1 0.5000 0.5000 0.5000



Density functional theory data (GGA-PBE) for an optimized crystal structure of Pu2TcH5.

Computed properties:
electronic total energy = -7.257 eV/atom
space-group type = I4mm, No. 107
DOS at the Fermi energy = 13.15 states/eV/f.u.

abc: 4.9792 4.9789 5.0441
angles: 119.57 119.58 90.00
Last column: magnetic moment on the atom in μB.
Sites, in units of the cell vectors:
Tc1 0.0055 0.0055 0.0110  -0.44
Pu1 0.2493 0.7493 0.4987  5.21
H1 0.7531 0.7531 0.5062  -0.02
H2 0.7498 0.7497 0.0098  -0.02
H3 0.2601 0.7497 0.0099  -0.02
Pu2 0.7493 0.2493 0.4987  5.21
H4 0.2601 0.2601 0.0099  -0.02
H5 0.7498 0.2601 0.0098  -0.02



Density functional theory data (GGA-PBE) for an optimized crystal structure of RbMoAs2.

Computed properties:
E above lowest polymorph = 73 meV/atom
space-group type = I4_1/amd, No. 141
DOS at the Fermi energy = 1.24 states/eV/f.u.
formation energy from the elements = -1.76 kcal/mol of atoms

abc: 6.7308 6.7308 8.1278
angles: 65.54 65.54 90.00
Sites, in units of the cell vectors:
As1 0.8748 0.6250 0.2500
As2 0.3750 0.1248 0.7500
Rb1 0.2500 0.7500 0.5000
As3 0.8750 0.1252 0.7500
Mo1 0.0000 0.0000 0.0000
Mo2 0.7500 0.2500 0.5000
As4 0.8752 0.1250 0.2500
Rb2 0.5000 0.5000 0.0000



Density functional theory data (GGA-PBE) for an optimized crystal structure of Nd12Sm2Er7.

Computed properties:
space-group type = P-6, No. 174
DOS at the Fermi energy = 34.82 states/eV/f.u.
formation energy from the elements = 1.04 kcal/mol of atoms

abc: 3.5781 15.1036 15.1036
angles: 120.00 90.00 90.00
Sites, in units of the cell vectors:
Nd1 0.0000 0.5156 0.9193
Er1 0.0000 0.1875 0.2341
Nd2 0.0000 0.7930 0.7470
Sm1 0.0000 0.6667 0.3333
Sm2 0.5000 0.0000 0.0000
Nd3 0.0000 0.9540 0.2070
Nd4 0.5000 0.2690 0.8382
Nd5 0.0000 0.4037 0.4844
Er2 0.5000 0.4808 0.1020
Nd6 0.5000 0.4113 0.2818
Nd7 0.5000 0.5692 0.7310
Nd8 0.5000 0.8705 0.5887
Er3 0.0000 0.0466 0.8125
Nd9 0.0000 0.0807 0.5963
Nd10 0.5000 0.7182 0.1295
Er4 0.0000 0.3333 0.6667
Er5 0.5000 0.6212 0.5192
Er6 0.5000 0.8980 0.3788
Er7 0.0000 0.7659 0.9534
Nd11 0.0000 0.2530 0.0460
Nd12 0.5000 0.1618 0.4308



Density functional theory data (GGA-PBE) for an optimized crystal structure of Ca2P2Ru2C.

Computed properties:
space-group type = C2/m, No. 12
DOS at the Fermi energy = 2.99 states/eV/f.u.
formation energy from the elements = -16.30 kcal/mol of atoms

abc: 3.9332 5.9046 6.1418
angles: 68.97 71.32 70.55
Sites, in units of the cell vectors:
Ru1 0.1913 0.6952 0.9222
P1 0.1807 0.3601 0.2784
P2 0.8193 0.6399 0.7216
C1 0.0000 0.0000 0.0000
Ru2 0.8087 0.3048 0.0778
Ca1 0.4362 0.8168 0.3108
Ca2 0.5638 0.1832 0.6892



Density functional theory data (GGA-PBE) for an optimized crystal structure of LiPm5Ga3.

Computed properties:
space-group type = P6_3/mcm, No. 193
DOS at the Fermi energy = 7.42 states/eV/f.u.
formation energy from the elements = -8.59 kcal/mol of atoms

abc: 6.6052 9.1062 9.1061
angles: 120.00 90.00 90.00
Sites, in units of the cell vectors:
Li1 0.0000 0.0000 0.0000
Pm1 0.2500 0.3102 0.3102
Ga1 0.7500 0.3478 0.3478
Ga2 0.2500 0.3478 0.0000
Pm2 0.7500 0.6898 0.6898
Ga3 0.7500 0.6522 0.0000
Pm3 0.5000 0.3333 0.6667
Pm4 0.0000 0.3333 0.6667
Pm5 0.5000 0.6667 0.3333
Pm6 0.0000 0.6667 0.3333
Pm7 0.2500 0.6898 0.0000
Pm8 0.7500 0.0000 0.3102
Pm9 0.2500 0.0000 0.6898
Ga4 0.2500 0.6522 0.6522
Ga5 0.7500 0.0000 0.6522
Pm10 0.7500 0.3102 0.0000
Ga6 0.2500 0.0000 0.3478
Li2 0.5000 0.0000 0.0000